[1]
{"formula": "ScOsS2", "functional": "SCAN", "state": "single point on PBEsol structure", "dos_ef_per_ev_atom": 0.985, "formation_energy_uncorrected_mev_per_atom": -266, "cell": [[-3.504, -0.005, -0.877], [-1.238, -2.319, -2.477], [-2.867, -5.603, 4.045]], "species": ["S", "Os", "Sc", "S"], "fractional_positions": [[0.115, 0.115, 0.654], [0.500, 0.500, 0.500], [0.000, 0.000, 0.000], [0.885, 0.885, 0.346]]}

---

[2]
{"formula": "Sc2OsS", "functional": "SCAN", "state": "single point on PBEsol structure", "dos_ef_per_ev_atom": 0.681, "formation_energy_uncorrected_mev_per_atom": -285, "cell": [[-1.068, -1.841, -2.435], [-1.516, -2.788, 0.625], [-8.441, 2.619, -0.426]], "species": ["Sc", "S", "Os", "Sc"], "fractional_positions": [[0.907, 0.907, 0.278], [0.000, 0.000, 0.000], [0.500, 0.500, 0.500], [0.093, 0.093, 0.722]]}

---

[3]
{"formula": "OsSe3S", "functional": "SCAN", "state": "single point on PBEsol structure", "dos_ef_per_ev_atom": 1.298, "formation_energy_uncorrected_mev_per_atom": 916, "cell": [[4.778, 0.000, 0.000], [0.000, 4.778, 0.000], [0.000, 0.000, 4.778]], "species": ["Se", "Os", "Se", "S", "Se"], "fractional_positions": [[0.000, 0.000, 0.500], [0.000, 0.000, 0.000], [0.000, 0.500, 0.000], [0.500, 0.500, 0.500], [0.500, 0.000, 0.000]]}

---

no.,calculated total energy (Ha/atom)
1,-0.97786
2,-1.02092
3,-1.00812